This record from Alexandria via LeMat-Bulk describes a relaxed structure of LiNpNiO5. The functional is PBE+U.

Cell and atoms, written as POSCAR:
```
LiNpNiO5
1.0
5.571 0.733 -0.300
-0.925 5.543 -0.300
-2.300 -3.107 7.472
Np Li O Ni
2 2 10 2
Cartesian
0.000 0.000 0.000 Np
-1.150 -1.554 3.736 Np
-0.410 1.553 5.304 Li
2.756 1.615 1.568 Li
0.029 -0.270 4.677 O
3.437 -1.294 5.304 O
3.010 0.484 3.313 O
-1.091 4.463 1.568 O
3.912 1.702 -0.178 O
0.883 1.503 0.941 O
-0.664 2.685 3.558 O
1.463 1.666 5.930 O
-1.566 1.467 7.049 O
2.317 3.439 2.194 O
0.463 3.312 1.568 Ni
1.883 -0.144 5.304 Ni
```

Computed properties:
**Mass density**: 5.6 g/cm3
**Space group**: No. 15
**DFT total energy**: -58.41 eV per formula unit